The following is a GGA+U calculation of an optimized crystal structure of FeSO2, from the Alexandria database.

Lattice parameters (Å, degrees): 3.0235 3.0235 17.8045 90.00 90.00 120.00
Space group R-3m (No. 166, hexagonal axes)
Unique sites:
Fe: 0.0000 0.0000 0.0000
S: 0.0000 0.0000 0.5000
O: 0.0000 0.0000 0.3926

Output
calculated total energy: -22.5 eV/f.u.
size of the total moment: 13.74 μB/cell